(1)
VASP calculation (PBE) on an optimized crystal structure of PuZnCd2.

Unit cell a=4.454 b=4.454 c=4.813 alpha=90.00 beta=90.00 gamma=90.00
Sites, in units of the cell vectors:
Pu (0.000, 0.000, 0.000)
Zn (0.500, 0.500, 0.000)
Cd (0.000, 0.500, 0.500)
Cd (0.500, 0.000, 0.500)

## Properties
- space-group type = P4/mmm (123)
- offset from the most stable computed form (eV per formula unit) = 0.20
- E_form (kcal/mol of atoms) = 1.03

---

(2)
VASP calculation (PBE) on an optimized crystal structure of Pu2Zn15Cd2.

Unit cell a=6.920 b=6.920 c=6.920 alpha=82.77 beta=82.77 gamma=82.77
Sites, in units of the cell vectors:
Pu (0.157, 0.157, 0.157)
Pu (0.843, 0.843, 0.843)
Zn (0.000, 0.500, 0.500)
Zn (0.145, 0.145, 0.665)
Zn (0.145, 0.665, 0.145)
Zn (0.198, 0.500, 0.802)
Zn (0.198, 0.802, 0.500)
Zn (0.335, 0.855, 0.855)
Zn (0.500, 0.000, 0.500)
Zn (0.500, 0.198, 0.802)
Zn (0.500, 0.500, 0.000)
Zn (0.500, 0.802, 0.198)
Zn (0.665, 0.145, 0.145)
Zn (0.802, 0.198, 0.500)
Zn (0.802, 0.500, 0.198)
Zn (0.855, 0.335, 0.855)
Zn (0.855, 0.855, 0.335)
Cd (0.395, 0.395, 0.395)
Cd (0.605, 0.605, 0.605)

## Properties
- space-group type = R-3m (166)
- E_form (kcal/mol of atoms) = -2.76

---

(3)
VASP calculation (PBE) on an optimized crystal structure of PuZnCd.

Unit cell a=4.987 b=4.987 c=2.988 alpha=90.00 beta=90.00 gamma=120.00
Sites, in units of the cell vectors:
Pu (0.000, 0.000, 0.000)
Zn (0.333, 0.667, 0.500)
Cd (0.667, 0.333, 0.500)

## Properties
- space-group type = P-6m2 (187)
- E_form (kcal/mol of atoms) = -2.76

---

(4)
VASP calculation (PBE) on an optimized crystal structure of PuZn2Cd.

Unit cell a=10.467 b=10.467 c=10.467 alpha=16.16 beta=16.16 gamma=16.16
Sites, in units of the cell vectors:
Pu (0.000, 0.000, 0.000)
Zn (0.248, 0.248, 0.248)
Zn (0.752, 0.752, 0.752)
Cd (0.500, 0.500, 0.500)

## Properties
- space-group type = R-3m (166)
- offset from the most stable computed form (eV per formula unit) = 0.72
- E_form (kcal/mol of atoms) = 2.07

---

(5)
VASP calculation (PBE) on an optimized crystal structure of PuZnCd2.

Unit cell a=5.050 b=5.050 c=5.050 alpha=60.00 beta=60.00 gamma=60.00
Sites, in units of the cell vectors:
Pu (0.000, 0.000, 0.000)
Zn (0.500, 0.500, 0.500)
Cd (0.250, 0.250, 0.250)
Cd (0.750, 0.750, 0.750)

## Properties
- space-group type = Fm-3m (225)
- offset from the most stable computed form (eV per formula unit) = 0.25
- E_form (kcal/mol of atoms) = 1.28

---

(6)
VASP calculation (PBE) on an optimized crystal structure of PuZnCd.

Unit cell a=4.890 b=3.531 c=7.264 alpha=90.00 beta=109.61 gamma=90.00
Sites, in units of the cell vectors:
Pu (0.054, 0.250, 0.109)
Pu (0.946, 0.750, 0.891)
Zn (0.423, 0.250, 0.846)
Zn (0.577, 0.750, 0.154)
Cd (0.264, 0.750, 0.527)
Cd (0.736, 0.250, 0.473)

## Properties
- space-group type = P2_1/m (11)
- E_form (kcal/mol of atoms) = 1.17

---

(7)
VASP calculation (PBE) on an optimized crystal structure of PuZnCd2.

Unit cell a=3.158 b=3.158 c=8.753 alpha=90.00 beta=90.00 gamma=90.00
Sites, in units of the cell vectors:
Pu (0.000, 0.000, 0.000)
Zn (0.000, 0.000, 0.500)
Cd (0.500, 0.500, 0.286)
Cd (0.500, 0.500, 0.714)

## Properties
- space-group type = P4/mmm (123)
- offset from the most stable computed form (eV per formula unit) = 0.00
- E_form (kcal/mol of atoms) = -0.14

---

(8)
VASP calculation (PBE) on an optimized crystal structure of PuZnCd.

Unit cell a=7.122 b=7.122 c=7.122 alpha=155.08 beta=155.08 gamma=35.53
Sites, in units of the cell vectors:
Pu (0.000, 0.000, 0.000)
Zn (0.662, 0.662, 0.000)
Cd (0.310, 0.310, 0.000)

## Properties
- space-group type = I4mm (107)
- E_form (kcal/mol of atoms) = -1.01

---

(9)
VASP calculation (PBE) on an optimized crystal structure of PuZn6Cd6.

Unit cell a=7.283 b=7.283 c=7.283 alpha=135.61 beta=99.00 gamma=97.41
Sites, in units of the cell vectors:
Pu (0.000, 0.000, 0.000)
Zn (0.000, 0.000, 0.500)
Zn (0.000, 0.500, 0.000)
Zn (0.223, 0.723, 0.500)
Zn (0.500, 0.000, 0.000)
Zn (0.500, 0.500, 0.500)
Zn (0.777, 0.277, 0.500)
Cd (0.198, 0.500, 0.698)
Cd (0.345, 0.345, 0.000)
Cd (0.347, 0.000, 0.347)
Cd (0.653, 0.000, 0.653)
Cd (0.655, 0.655, 0.000)
Cd (0.802, 0.500, 0.302)

## Properties
- space-group type = Immm (71)
- E_form (kcal/mol of atoms) = -0.92

---

(10)
VASP calculation (PBE) on an optimized crystal structure of PuZn2Cd4.

Unit cell a=10.861 b=10.861 c=2.972 alpha=90.00 beta=90.00 gamma=154.83
Sites, in units of the cell vectors:
Pu (0.000, 0.000, 0.000)
Zn (0.432, 0.568, 0.500)
Zn (0.568, 0.432, 0.500)
Cd (0.143, 0.857, 0.500)
Cd (0.294, 0.706, 0.000)
Cd (0.706, 0.294, 0.000)
Cd (0.857, 0.143, 0.500)

## Properties
- space-group type = Cmmm (65)
- E_form (kcal/mol of atoms) = -0.85

---

(11)
VASP calculation (PBE) on an optimized crystal structure of PuZnCd4.

Unit cell a=5.887 b=5.887 c=5.887 alpha=60.00 beta=60.00 gamma=60.00
Sites, in units of the cell vectors:
Pu (0.000, 0.000, 0.000)
Zn (0.250, 0.250, 0.250)
Cd (0.125, 0.625, 0.625)
Cd (0.625, 0.125, 0.625)
Cd (0.625, 0.625, 0.125)
Cd (0.625, 0.625, 0.625)

## Properties
- space-group type = F-43m (216)
- E_form (kcal/mol of atoms) = 2.94

---

(12)
VASP calculation (PBE) on an optimized crystal structure of PuZn3Cd.

Unit cell a=5.812 b=5.450 c=6.197 alpha=90.00 beta=90.43 gamma=90.00
Sites, in units of the cell vectors:
Pu (0.142, 0.250, 0.117)
Pu (0.858, 0.750, 0.883)
Zn (0.369, 0.000, 0.675)
Zn (0.369, 0.500, 0.675)
Zn (0.369, 0.750, 0.047)
Zn (0.631, 0.000, 0.325)
Zn (0.631, 0.250, 0.953)
Zn (0.631, 0.500, 0.325)
Cd (0.061, 0.750, 0.390)
Cd (0.939, 0.250, 0.610)

## Properties
- space-group type = P2_1/m (11)
- E_form (kcal/mol of atoms) = -1.28